(1)
TmCdAu2 | PBE-GGA | relaxed

Calculated values
The crystal system is trigonal. Its density of states at the Fermi level is 0.445 states/eV per atom. The calculated volume is 96 Å³ per cell. The final energy comes out at -13.86 eV per cell. Its space group is R3m, No. 160.

Cell lengths 3.881, 3.881, 7.726 Å; angles 75.45, 75.45, 60.00 degrees
Fractional coordinates of all 4 atoms:
Tm 0.667 0.667 0.999
Cd 0.500 0.500 0.501
Au 0.083 0.083 0.752
Au 0.251 0.251 0.248

(2)
TmCdAu | PBE-GGA | relaxed

Calculated values
The crystal system is cubic. Its density of states at the Fermi level is 0.917 states/eV per atom. The calculated volume is 76 Å³ per cell. The final energy comes out at -10.21 eV per cell. Its space group is F-43m, No. 216.

Cell lengths 4.757, 4.757, 4.757 Å; angles 60.00, 60.00, 60.00 degrees
Fractional coordinates of all 3 atoms:
Tm 0.000 0.000 0.000
Au 0.250 0.250 0.250
Cd 0.500 0.500 0.500

(3)
TmCdAu2 | PBE-GGA | relaxed

Calculated values
The crystal system is tetragonal. Its density of states at the Fermi level is 0.440 states/eV per atom. The calculated volume is 85 Å³ per cell. The final energy comes out at -14.12 eV per cell. Its space group is P4/mmm, No. 123.

Cell lengths 3.862, 4.689, 4.689 Å; angles 90.00, 90.00, 90.00 degrees
Fractional coordinates of all 4 atoms:
Tm 0.500 0.000 0.000
Au 0.000 0.000 0.500
Au 0.000 0.500 0.000
Cd 0.500 0.500 0.500

(4)
Tm2Cd3Au2 | PBE-GGA | relaxed

Calculated values
The crystal system is monoclinic. Its density of states at the Fermi level is 0.389 states/eV per atom. The calculated volume is 161 Å³ per cell. The final energy comes out at -21.71 eV per cell. Its space group is C2/m, No. 12.

Cell lengths 3.924, 5.595, 7.847 Å; angles 94.69, 90.00, 110.53 degrees
Fractional coordinates of all 7 atoms:
Tm 0.619 0.238 0.346
Tm 0.381 0.762 0.654
Cd 0.305 0.610 0.126
Cd 0.000 0.000 0.000
Cd 0.695 0.390 0.874
Au 0.102 0.204 0.630
Au 0.898 0.796 0.370